An optimized crystal structure of SrZnAg3, computed with PBE.

```
SrZnAg3
1.0
4.995 0.000 0.000
0.000 4.995 0.000
0.000 0.000 4.995
Sr Zn Ag
1 1 3
Direct
0.000 0.000 0.000
0.500 0.500 0.500
0.000 0.500 0.500
0.500 0.000 0.500
0.500 0.500 0.000
```

The calculated density comes out at 6.4 Mg/m³. The value obtained for the distance to the lowest polymorph of the same formula is 121 meV per atom. For the energy, the calculation gives -2.34 eV/atom. The calculation puts the formation energy at -0.04 eV/atom. For the total moment, the calculation gives 0.0 μB/f.u. The space group is No. 221.